A geometry-optimized CrCl structure, computed with GGA-PBE.

The space group is F-43m, No. 216. The value obtained for the uncorrected formation energy is 0.578 eV per atom. As for the volume: 16.73 A^3/atom. The total magnetization comes out at 0.7 μB per formula unit.

a = 3.6168 Å, b = 3.6168 Å, c = 3.6168 Å
α = 60.00°, β = 60.00°, γ = 60.00°
With the nearest neighbours (Å) after each atom.
Positions (direct):
Cr1 0.0000 0.0000 0.0000  4 Cl 2.21
Cl1 0.2500 0.2500 0.2500  4 Cr 2.21

***

A geometry-optimized Cr3Cl structure, computed with GGA-PBE.

The space group is Cmmm, No. 65. The value obtained for the uncorrected formation energy is 0.270 eV per atom. The calculation puts the polymorph energy (0 for the lowest one) at 117.5 meV per atom. As for the volume: 15.33 A^3/atom. The total magnetization comes out at 4.5 μB per formula unit.

a = 2.9969 Å, b = 2.9969 Å, c = 6.8500 Å
α = 90.00°, β = 90.00°, γ = 94.46°
With the nearest neighbours (Å) after each atom.
Positions (direct):
Cr1 0.0000 0.0000 0.0000  8 Cr 2.50-2.63
Cr2 0.5000 0.5000 0.2109  4 Cr 2.50-2.63
Cr3 0.5000 0.5000 0.7891  4 Cr 2.50-2.63
Cl1 0.0000 0.0000 0.5000  8 Cr 2.84-2.96, 4 Cl 3.00

***

A geometry-optimized CrCl4 structure, computed with GGA-PBE.

The space group is Pm-3m, No. 221. The value obtained for the uncorrected formation energy is -0.384 eV per atom. As for the volume: 21.60 A^3/atom. The total magnetization comes out at 2.0 μB per formula unit.

a = 4.7621 Å, b = 4.7621 Å, c = 4.7621 Å
α = 90.00°, β = 90.00°, γ = 90.00°
With the nearest neighbours (Å) after each atom.
Positions (direct):
Cr1 0.0000 0.0000 0.0000  6 Cl 2.38
Cl1 0.0000 0.0000 0.5000  2 Cr 2.38
Cl2 0.0000 0.5000 0.0000  2 Cr 2.38
Cl3 0.5000 0.0000 0.0000  2 Cr 2.38
Cl4 0.5000 0.5000 0.5000  12 Cl 3.37